--- i ---
VASP calculation (PBE) on a relaxed structure of RbBa3Si.

a b c (Å): 6.2409 6.2409 6.2409
angles (deg): 90.00 90.00 90.00
Element x y z (fractional)
Rb 0.0000 0.0000 0.0000
Ba 0.0000 0.0000 0.5000
Ba 0.0000 0.5000 0.0000
Ba 0.5000 0.0000 0.0000
Si 0.5000 0.5000 0.5000

Output
- space-group type = Pm-3m



--- ii ---
VASP calculation (PBE) on a relaxed structure of RbBa3Si.

a b c (Å): 6.6676 6.6676 6.6676
angles (deg): 90.00 90.00 90.00
Element x y z (fractional)
Rb 0.0000 0.0000 0.0000
Ba 0.0000 0.5000 0.5000
Ba 0.5000 0.0000 0.5000
Ba 0.5000 0.5000 0.0000
Si 0.5000 0.5000 0.5000

Output
- space-group type = Pm-3m



Stability check: which of them is most stable? ii.



--- i ---
VASP calculation (PBE) on a relaxed structure of RbBa2Si2.

a b c (Å): 7.2698 7.2698 7.2698
angles (deg): 133.55 133.55 67.80
Element x y z (fractional)
Rb 0.0000 0.0000 0.0000
Ba 0.2500 0.7500 0.5000
Ba 0.7500 0.2500 0.5000
Si 0.4030 0.4030 0.0000
Si 0.5970 0.5970 0.0000

Output
- space-group type = I4/mmm



--- ii ---
VASP calculation (PBE) on a relaxed structure of RbBa2Si2.

a b c (Å): 8.9164 8.9164 4.7792
angles (deg): 90.00 90.00 90.00
Element x y z (fractional)
Rb 0.0000 0.0000 0.0000
Rb 0.5000 0.5000 0.0000
Ba 0.1743 0.3257 0.5000
Ba 0.3257 0.8257 0.5000
Ba 0.6743 0.1743 0.5000
Ba 0.8257 0.6743 0.5000
Si 0.0927 0.5927 0.0000
Si 0.4073 0.0927 0.0000
Si 0.5927 0.9073 0.0000
Si 0.9073 0.4073 0.0000

Output
- space-group type = P4/mbm



Stability check: which of them is most stable? ii.



--- i ---
VASP calculation (PBE) on a relaxed structure of RbBa2Sn2.

a b c (Å): 10.0080 10.0080 4.1457
angles (deg): 90.00 90.00 90.00
Element x y z (fractional)
Rb 0.0000 0.0000 0.0000
Rb 0.5000 0.5000 0.0000
Ba 0.1722 0.3278 0.0000
Ba 0.3278 0.8278 0.0000
Ba 0.6722 0.1722 0.0000
Ba 0.8278 0.6722 0.0000
Sn 0.1152 0.6152 0.5000
Sn 0.3848 0.1152 0.5000
Sn 0.6152 0.8848 0.5000
Sn 0.8848 0.3848 0.5000

Output
- space-group type = P4/mbm



--- ii ---
VASP calculation (PBE) on a relaxed structure of RbBa2Sn2.

a b c (Å): 9.5371 9.5371 4.8728
angles (deg): 90.00 90.00 90.00
Element x y z (fractional)
Rb 0.0000 0.0000 0.0000
Rb 0.5000 0.5000 0.0000
Ba 0.1709 0.3291 0.5000
Ba 0.3291 0.8291 0.5000
Ba 0.6709 0.1709 0.5000
Ba 0.8291 0.6709 0.5000
Sn 0.1106 0.6106 0.0000
Sn 0.3894 0.1106 0.0000
Sn 0.6106 0.8894 0.0000
Sn 0.8894 0.3894 0.0000

Output
- space-group type = P4/mbm



Stability check: which of them is most stable? ii.



--- i ---
VASP calculation (PBE) on a relaxed structure of RbBa2Sn2.

a b c (Å): 7.9632 7.9632 7.9632
angles (deg): 135.50 135.50 64.75
Element x y z (fractional)
Rb 0.0000 0.0000 0.0000
Ba 0.2500 0.7500 0.5000
Ba 0.7500 0.2500 0.5000
Sn 0.3940 0.3940 0.0000
Sn 0.6060 0.6060 0.0000

Output
- space-group type = I4/mmm



--- ii ---
VASP calculation (PBE) on a relaxed structure of RbBa2Sn2.

a b c (Å): 8.0066 8.0066 8.0066
angles (deg): 134.42 134.42 66.43
Element x y z (fractional)
Rb 0.0000 0.0000 0.0000
Ba 0.3495 0.3495 0.0000
Ba 0.6505 0.6505 0.0000
Sn 0.2500 0.7500 0.5000
Sn 0.7500 0.2500 0.5000

Output
- space-group type = I4/mmm



Stability check: which of them is most stable? i.